[1]
First-principles (PBE-GGA) data for crystalline La4Sn2O at its relaxed geometry, as listed in Alexandria via LeMat-Bulk.

The energy above the most stable polymorph in this dataset comes out at 0.000 eV per atom. The value obtained for the uncorrected formation energy is -895 kJ/mol of formula units. For the magnetic moment, the calculation gives 2.344 μB per cell.

The structure belongs to space group I4/mmm (No. 139); the cell edges are 4.8628, 4.8628 and 17.7543 Å and the angles 90.00°, 90.00° and 90.00°. The asymmetric unit holds La at (0.0000, 0.0000, 0.1765), La at (0.0000, 0.5000, 0.0000), Sn at (0.0000, 0.0000, 0.3622) and O at (0.0000, 0.0000, 0.0000).

***

[2]
First-principles (PBE-GGA) data for crystalline AcTiAgO4 at its relaxed geometry, as listed in Alexandria via LeMat-Bulk.

The value obtained for the uncorrected formation energy is -1702 kJ/mol of formula units. For the magnetic moment, the calculation gives 0.000 μB per cell.

The structure belongs to space group P2_1/m (No. 11); the cell edges are 6.6517, 6.5771 and 6.8771 Å and the angles 90.00°, 100.70° and 90.00°. The asymmetric unit holds Ac at (0.1909, 0.2500, 0.0647), Ti at (0.2881, 0.7500, 0.8358), Ag at (0.4725, 0.7500, 0.3732), O at (0.1090, 0.5401, 0.8396), O at (0.4689, 0.7500, 0.0700) and O at (0.4861, 0.7500, 0.6764).

***

[3]
First-principles (PBE-GGA) data for crystalline Sr2Th2Pd15 at its relaxed geometry, as listed in Alexandria via LeMat-Bulk.

The total energy is -5.581 eV per atom. For the magnetic moment, the calculation gives 0.000 μB per cell.

The structure belongs to space group R-3m (No. 166, hexagonal axes); the cell edges are 9.4350, 9.4350 and 14.3621 Å and the angles 90.00°, 90.00° and 120.00°. The asymmetric unit holds Sr at (0.0000, 0.0000, 0.1346), Th at (0.0000, 0.0000, 0.3864), Pd at (0.0000, 0.2978, 0.5000), Pd at (0.0000, 0.5000, 0.0000) and Pd at (0.9999, 0.4999, 0.3464).